# Ac5CoHg2H (GGA-PBE, relaxed)
data_Ac5CoHg2H
_chemical_formula_sum 'Ac20 Co4 Hg8 H4'
_space_group_name_H-M_alt 'C m c 21'
_space_group_IT_number 36
_space_group_name_Hall 'C 2c -2'
_cell_length_a 4.2089
_cell_length_b 19.2989
_cell_length_c 14.3080
_cell_angle_alpha 90.00
_cell_angle_beta 90.00
_cell_angle_gamma 90.00
loop_
_atom_site_label
_atom_site_type_symbol
_atom_site_fract_x
_atom_site_fract_y
_atom_site_fract_z
Ac1 Ac 0.0000 0.0021 0.0000
Ac2 Ac 0.0000 0.1495 0.2522
Ac3 Ac 0.0000 0.1941 0.6164
Ac4 Ac 0.0000 0.1994 0.8913
Ac5 Ac 0.0000 0.4528 0.2427
Co1 Co 0.0000 0.2994 0.2535
Hg1 Hg 0.0000 0.3722 0.5659
Hg2 Hg 0.0000 0.3763 0.9388
H1 H 0.0000 0.0637 0.6472
# total DFT energy (no corrections)	-3.811	eV per atom

***

# BaLiCuN (GGA-PBE, relaxed)
data_BaLiCuN
_chemical_formula_sum 'Ba2 Li2 Cu2 N2'
_space_group_name_H-M_alt 'I m m 2'
_space_group_IT_number 44
_space_group_name_Hall 'I 2 -2'
_cell_length_a 3.7277
_cell_length_b 3.7639
_cell_length_c 11.3707
_cell_angle_alpha 90.00
_cell_angle_beta 90.00
_cell_angle_gamma 90.00
loop_
_atom_site_label
_atom_site_type_symbol
_atom_site_fract_x
_atom_site_fract_y
_atom_site_fract_z
Ba1 Ba 0.0000 0.0000 0.0000
Li1 Li 0.0000 0.0000 0.2613
Cu1 Cu 0.0000 0.0000 0.6927
N1 N 0.0000 0.5000 0.1809
# total DFT energy (no corrections)	-4.240	eV per atom

***

# Pr12Nd5Th3 (GGA-PBE, relaxed)
data_Pr12Nd5Th3
_chemical_formula_sum 'Pr96 Nd40 Th24'
_space_group_name_H-M_alt 'I a -3 d'
_space_group_IT_number 230
_space_group_name_Hall '-I 4bd 2c 3'
_cell_length_a 18.7895
_cell_length_b 18.7895
_cell_length_c 18.7895
_cell_angle_alpha 90.00
_cell_angle_beta 90.00
_cell_angle_gamma 90.00
loop_
_atom_site_label
_atom_site_type_symbol
_atom_site_fract_x
_atom_site_fract_y
_atom_site_fract_z
Pr1 Pr 0.0154 0.0812 0.6502
Nd1 Nd 0.0000 0.0000 0.0000
Nd2 Nd 0.0000 0.2500 0.3750
Th1 Th 0.0000 0.2500 0.1250
# total DFT energy (no corrections)	-4.206	eV per atom
# ΔH_f (0 K)	0.97	eV/atom

***

# Mg2ScGeS (GGA-PBE, relaxed)
data_Mg2ScGeS
_chemical_formula_sum 'Mg2 Sc1 Ge1 S1'
_space_group_name_H-M_alt 'P 4/m m m'
_space_group_IT_number 123
_space_group_name_Hall '-P 4 2'
_cell_length_a 5.7543
_cell_length_b 5.7543
_cell_length_c 4.6097
_cell_angle_alpha 90.00
_cell_angle_beta 90.00
_cell_angle_gamma 90.00
loop_
_atom_site_label
_atom_site_type_symbol
_atom_site_fract_x
_atom_site_fract_y
_atom_site_fract_z
Mg1 Mg 0.0000 0.5000 0.0000
Sc1 Sc 0.0000 0.0000 0.0000
Ge1 Ge 0.5000 0.5000 0.5000
S1 S 0.0000 0.0000 0.5000
# total DFT energy (no corrections)	-3.266	eV per atom

***

# NaMg2Ge (GGA-PBE, relaxed)
data_NaMg2Ge
_chemical_formula_sum 'Na4 Mg8 Ge4'
_space_group_name_H-M_alt 'I -4 2 d'
_space_group_IT_number 122
_space_group_name_Hall 'I -4 2bw'
_cell_length_a 4.4882
_cell_length_b 4.4882
_cell_length_c 19.6544
_cell_angle_alpha 90.00
_cell_angle_beta 90.00
_cell_angle_gamma 90.00
loop_
_atom_site_label
_atom_site_type_symbol
_atom_site_fract_x
_atom_site_fract_y
_atom_site_fract_z
Na1 Na 0.0000 0.0000 0.0000
Mg1 Mg 0.2232 0.2500 0.6250
Ge1 Ge 0.0000 0.0000 0.5000
# total DFT energy (no corrections)	-2.063	eV per atom
# ΔH_f (0 K)	0.22	eV/atom

***

# Mn2TcHg (GGA-PBE, relaxed)
data_Mn2TcHg
_chemical_formula_sum 'Mn6 Tc3 Hg3'
_space_group_name_H-M_alt 'R 3 m'
_space_group_IT_number 160
_space_group_name_Hall 'R 3 -2"'
_cell_length_a 2.8268
_cell_length_b 2.8268
_cell_length_c 26.6511
_cell_angle_alpha 90.00
_cell_angle_beta 90.00
_cell_angle_gamma 120.00
loop_
_atom_site_label
_atom_site_type_symbol
_atom_site_fract_x
_atom_site_fract_y
_atom_site_fract_z
Mn1 Mn 0.0000 0.0000 0.0000
Mn2 Mn 0.0000 0.0000 0.2585
Tc1 Tc 0.0000 0.0000 0.7369
Hg1 Hg 0.0000 0.0000 0.5002
# total DFT energy (no corrections)	-6.850	eV per atom
# ΔH_f (0 K)	0.40	eV/atom

***

# ZnIrOs2 (GGA-PBE, relaxed)
data_ZnIrOs2
_chemical_formula_sum 'Zn2 Ir2 Os4'
_space_group_name_H-M_alt 'C m m m'
_space_group_IT_number 65
_space_group_name_Hall '-C 2 2'
_cell_length_a 2.7193
_cell_length_b 4.6917
_cell_length_c 9.2160
_cell_angle_alpha 90.00
_cell_angle_beta 90.00
_cell_angle_gamma 90.00
loop_
_atom_site_label
_atom_site_type_symbol
_atom_site_fract_x
_atom_site_fract_y
_atom_site_fract_z
Zn1 Zn 0.0000 0.0000 0.0000
Ir1 Ir 0.0000 0.0000 0.5000
Os1 Os 0.0000 0.5000 0.2465
# total DFT energy (no corrections)	-7.718	eV per atom
# ΔH_f (0 K)	0.43	eV/atom

***

# Ho3Co (GGA-PBE, relaxed)
data_Ho3Co
_chemical_formula_sum 'Ho24 Co8'
_space_group_name_H-M_alt 'I -4'
_space_group_IT_number 82
_space_group_name_Hall 'I -4'
_cell_length_a 11.3801
_cell_length_b 11.3801
_cell_length_c 6.1008
_cell_angle_alpha 90.00
_cell_angle_beta 90.00
_cell_angle_gamma 90.00
loop_
_atom_site_label
_atom_site_type_symbol
_atom_site_fract_x
_atom_site_fract_y
_atom_site_fract_z
Ho1 Ho 0.9998 0.1411 0.2503
Ho2 Ho 0.0958 0.4040 0.9965
Ho3 Ho 0.2015 0.2985 0.5593
Co1 Co 0.9998 0.2090 0.7495
# total DFT energy (no corrections)	-5.297	eV per atom
# ΔH_f (0 K)	-0.09	eV/atom

***

# MgFeW2 (GGA-PBE, relaxed)
data_MgFeW2
_chemical_formula_sum 'Mg1 Fe1 W2'
_space_group_name_H-M_alt 'P 4/m m m'
_space_group_IT_number 123
_space_group_name_Hall '-P 4 2'
_cell_length_a 2.7552
_cell_length_b 2.7552
_cell_length_c 8.0817
_cell_angle_alpha 90.00
_cell_angle_beta 90.00
_cell_angle_gamma 90.00
loop_
_atom_site_label
_atom_site_type_symbol
_atom_site_fract_x
_atom_site_fract_y
_atom_site_fract_z
Mg1 Mg 0.0000 0.0000 0.0000
Fe1 Fe 0.0000 0.0000 0.5000
W1 W 0.5000 0.5000 0.2871
# total DFT energy (no corrections)	-8.626	eV per atom
# ΔH_f (0 K)	0.36	eV/atom

***

# La2HoPt (GGA-PBE, relaxed)
data_La2HoPt
_chemical_formula_sum 'La6 Ho3 Pt3'
_space_group_name_H-M_alt 'R -3 m'
_space_group_IT_number 166
_space_group_name_Hall '-R 3 2"'
_cell_length_a 3.8548
_cell_length_b 3.8548
_cell_length_c 31.9985
_cell_angle_alpha 90.00
_cell_angle_beta 90.00
_cell_angle_gamma 120.00
loop_
_atom_site_label
_atom_site_type_symbol
_atom_site_fract_x
_atom_site_fract_y
_atom_site_fract_z
La1 La 0.0000 0.0000 0.1083
Ho1 Ho 0.0000 0.0000 0.0000
Pt1 Pt 0.0000 0.0000 0.5000
# energy above the lowest structure with this stoichiometry	36.3	kJ/mol of atoms
# total DFT energy (no corrections)	-5.393	eV per atom
# ΔH_f (0 K)	-0.27	eV/atom

***

# Tb2Nd2ErTm4 (GGA-PBE, relaxed)
data_Tb2Nd2ErTm4
_chemical_formula_sum 'Tb4 Nd4 Er2 Tm8'
_space_group_name_H-M_alt 'C 1 2/m 1'
_space_group_IT_number 12
_space_group_name_Hall '-C 2y'
_cell_length_a 18.5733
_cell_length_b 3.5790
_cell_length_c 9.5134
_cell_angle_alpha 90.00
_cell_angle_beta 115.75
_cell_angle_gamma 90.00
loop_
_atom_site_label
_atom_site_type_symbol
_atom_site_fract_x
_atom_site_fract_y
_atom_site_fract_z
Tb1 Tb 0.1470 0.0000 0.1618
Nd1 Nd 0.1651 0.5000 0.5005
Er1 Er 0.0000 0.0000 0.5000
Tm1 Tm 0.0196 0.5000 0.8345
Tm2 Tm 0.1850 0.0000 0.8368
# total DFT energy (no corrections)	-4.583	eV per atom
# ΔH_f (0 K)	0.00	eV/atom